Entry 1:
Here is a PBEsol-optimized structure of TcPt3S from the Alexandria database. Energies are from meta-GGA SCAN.

abc: 4.4320 4.4320 4.4320
angles: 90.00 90.00 90.00
Last column: nearest neighbours and their distance in Å.
Positions (direct):
Tc (0.0000, 0.0000, 0.0000)  12 Pt 3.13
Pt (0.0000, 0.5000, 0.5000)  2 S 2.22
Pt (0.5000, 0.0000, 0.5000)  2 S 2.22
Pt (0.5000, 0.5000, 0.0000)  2 S 2.22
S (0.5000, 0.5000, 0.5000)  6 Pt 2.22

Properties
volume = 17.4 Å³/atom
total magnetic moment = 4.321 Bohr magnetons per cell
crystal system = cubic
calculated total energy = -251.93 eV for the cell shown
E_form (uncorrected) = 0.668 eV per atom

Entry 2:
Here is a PBEsol-optimized structure of KTa2Se from the Alexandria database. Energies are from meta-GGA SCAN.

abc: 3.0513 6.1204 10.3098
angles: 90.00 90.00 90.00
Last column: nearest neighbours and their distance in Å.
Positions (direct):
K (0.0000, 0.0000, 0.0000)  2 K 3.05, 2 Se 3.16
K (0.5000, 0.5000, 0.5000)  2 K 3.05, 2 Se 3.16
Ta (0.0000, 0.0000, 0.5316)  2 Se 2.57, 2 Ta 2.65
Ta (0.0000, 0.5000, 0.8219)  2 Ta 2.65
Ta (0.5000, 0.0000, 0.3219)  2 Ta 2.65
Ta (0.5000, 0.5000, 0.0316)  2 Se 2.57, 2 Ta 2.65
Se (0.0000, 0.5000, 0.2318)  2 Ta 2.57
Se (0.5000, 0.0000, 0.7318)  2 Ta 2.57

Properties
volume = 24.1 Å³/atom
total magnetic moment = 1.380 Bohr magnetons per cell
crystal system = orthorhombic
calculated total energy = -316.97 eV for the cell shown
E_form (uncorrected) = 0.772 eV per atom

Entry 3:
Here is a PBEsol-optimized structure of YMo2F from the Alexandria database. Energies are from meta-GGA SCAN.

abc: 6.3781 6.3781 6.3781
angles: 90.00 90.00 90.00
Last column: nearest neighbours and their distance in Å.
Positions (direct):
Y (0.0000, 0.0000, 0.0000)  8 Mo 2.76
Y (0.0000, 0.5000, 0.5000)  8 Mo 2.76
Y (0.5000, 0.0000, 0.5000)  8 Mo 2.76
Y (0.5000, 0.5000, 0.0000)  8 Mo 2.76
Mo (0.2500, 0.2500, 0.2500)  4 F 2.76, 4 Y 2.76
Mo (0.2500, 0.2500, 0.7500)  4 F 2.76, 4 Y 2.76
Mo (0.2500, 0.7500, 0.2500)  4 F 2.76, 4 Y 2.76
Mo (0.2500, 0.7500, 0.7500)  4 F 2.76, 4 Y 2.76
Mo (0.7500, 0.2500, 0.2500)  4 F 2.76, 4 Y 2.76
Mo (0.7500, 0.2500, 0.7500)  4 F 2.76, 4 Y 2.76
Mo (0.7500, 0.7500, 0.2500)  4 F 2.76, 4 Y 2.76
Mo (0.7500, 0.7500, 0.7500)  4 F 2.76, 4 Y 2.76
F (0.0000, 0.0000, 0.5000)  8 Mo 2.76
F (0.0000, 0.5000, 0.0000)  8 Mo 2.76
F (0.5000, 0.0000, 0.0000)  8 Mo 2.76
F (0.5000, 0.5000, 0.5000)  8 Mo 2.76

Properties
volume = 16.2 Å³/atom
total magnetic moment = 0.000 Bohr magnetons per cell
crystal system = cubic
calculated total energy = -387.03 eV for the cell shown
E_form (uncorrected) = 1.099 eV per atom

Entry 4:
Here is a PBEsol-optimized structure of PtPb2 from the Alexandria database. Energies are from meta-GGA SCAN.

abc: 13.2378 3.3893 6.6794
angles: 90.00 106.90 90.00
Last column: nearest neighbours and their distance in Å.
Positions (direct):
Pt (0.0006, 0.0000, 0.2411)  8 Pb 2.92-2.96, 1 Pt 3.22
Pt (0.4994, 0.5000, 0.7589)  8 Pb 2.92-2.96, 1 Pt 3.22
Pt (0.5006, 0.5000, 0.2411)  8 Pb 2.92-2.96, 1 Pt 3.22
Pt (0.9994, 0.0000, 0.7589)  8 Pb 2.92-2.96, 1 Pt 3.22
Pb (0.1328, 0.5000, 0.5749)  4 Pt 2.94-2.96
Pb (0.1385, 0.5000, 0.0781)  4 Pt 2.92
Pb (0.3615, 0.0000, 0.9219)  4 Pt 2.92
Pb (0.3672, 0.0000, 0.4251)  4 Pt 2.94-2.96
Pb (0.6328, 0.0000, 0.5749)  4 Pt 2.94-2.96
Pb (0.6385, 0.0000, 0.0781)  4 Pt 2.92
Pb (0.8615, 0.5000, 0.9219)  4 Pt 2.92
Pb (0.8672, 0.5000, 0.4251)  4 Pt 2.94-2.96

Properties
volume = 23.9 Å³/atom
total magnetic moment = 0.000 Bohr magnetons per cell
crystal system = monoclinic
calculated total energy = -887.89 eV for the cell shown
energy of formation from the pure elements = -0.072 eV/atom

Entry 5:
Here is a PBEsol-optimized structure of AlTlO2 from the Alexandria database. Energies are from meta-GGA SCAN.

abc: 5.5178 5.5178 7.8773
angles: 90.00 90.00 90.00
Last column: nearest neighbours and their distance in Å.
Positions (direct):
Al (0.0000, 0.0000, 0.0000)  4 O 1.76
Al (0.0000, 0.5000, 0.2500)  4 O 1.76
Al (0.5000, 0.0000, 0.7500)  4 O 1.76
Al (0.5000, 0.5000, 0.5000)  4 O 1.76
Tl (0.0000, 0.0000, 0.5000)  4 O 2.83
Tl (0.0000, 0.5000, 0.7500)  4 O 2.83
Tl (0.5000, 0.0000, 0.2500)  4 O 2.83
Tl (0.5000, 0.5000, 0.0000)  4 O 2.83
O (0.0885, 0.2500, 0.1250)  2 Al 1.76
O (0.2500, 0.5885, 0.3750)  2 Al 1.76
O (0.2500, 0.9115, 0.8750)  2 Al 1.76
O (0.4115, 0.2500, 0.6250)  2 Al 1.76
O (0.5885, 0.7500, 0.6250)  2 Al 1.76
O (0.7500, 0.0885, 0.8750)  2 Al 1.76
O (0.7500, 0.4115, 0.3750)  2 Al 1.76
O (0.9115, 0.7500, 0.1250)  2 Al 1.76

Properties
volume = 15.0 Å³/atom
total magnetic moment = 0.000 Bohr magnetons per cell
crystal system = tetragonal
calculated total energy = -407.69 eV for the cell shown
E_form (uncorrected) = -2.337 eV per atom

Entry 6:
Here is a PBEsol-optimized structure of Y2BiS from the Alexandria database. Energies are from meta-GGA SCAN.

abc: 6.4519 6.4519 13.0538
angles: 90.00 90.00 90.00
Last column: nearest neighbours and their distance in Å.
Positions (direct):
Y (0.2027, 0.2500, 0.1250)  2 S 2.64
Y (0.2500, 0.7027, 0.3750)  2 S 2.64
Y (0.2500, 0.7973, 0.8750)  2 S 2.64
Y (0.2973, 0.2500, 0.6250)  2 S 2.64
Y (0.7027, 0.7500, 0.6250)  2 S 2.64
Y (0.7500, 0.2027, 0.8750)  2 S 2.64
Y (0.7500, 0.2973, 0.3750)  2 S 2.64
Y (0.7973, 0.7500, 0.1250)  2 S 2.64
Bi (0.0000, 0.0000, 0.5000)  4 Y 2.99
Bi (0.0000, 0.5000, 0.7500)  4 Y 2.99
Bi (0.5000, 0.0000, 0.2500)  4 Y 2.99
Bi (0.5000, 0.5000, 0.0000)  4 Y 2.99
S (0.0000, 0.0000, 0.0000)  4 Y 2.64
S (0.0000, 0.5000, 0.2500)  4 Y 2.64
S (0.5000, 0.0000, 0.7500)  4 Y 2.64
S (0.5000, 0.5000, 0.5000)  4 Y 2.64

Properties
volume = 34.0 Å³/atom
total magnetic moment = 0.000 Bohr magnetons per cell
crystal system = tetragonal
calculated total energy = -594.10 eV for the cell shown
E_form (uncorrected) = -1.158 eV per atom

Entry 7:
Here is a PBEsol-optimized structure of Na2LiGe2 from the Alexandria database. Energies are from meta-GGA SCAN.

abc: 3.7079 3.7079 18.6860
angles: 90.00 90.00 90.00
Last column: nearest neighbours and their distance in Å.
Positions (direct):
Na (0.0000, 0.0000, 0.1146)  4 Ge 3.14, 4 Li 3.39
Na (0.0000, 0.0000, 0.8854)  4 Ge 3.14, 4 Li 3.39
Na (0.5000, 0.5000, 0.3854)  4 Ge 3.14, 4 Li 3.39
Na (0.5000, 0.5000, 0.6146)  4 Ge 3.14, 4 Li 3.39
Li (0.0000, 0.0000, 0.5000)  8 Na 3.39, 4 Li 3.71
Li (0.5000, 0.5000, 0.0000)  8 Na 3.39, 4 Li 3.71
Ge (0.0000, 0.5000, 0.2500)  4 Ge 2.62
Ge (0.0000, 0.5000, 0.7500)  4 Ge 2.62
Ge (0.5000, 0.0000, 0.2500)  4 Ge 2.62
Ge (0.5000, 0.0000, 0.7500)  4 Ge 2.62

Properties
volume = 25.7 Å³/atom
total magnetic moment = 0.000 Bohr magnetons per cell
crystal system = tetragonal
calculated total energy = -96.79 eV for the cell shown
energy of formation from the pure elements = 0.120 eV/atom

Entry 8:
Here is a PBEsol-optimized structure of Sr3NF from the Alexandria database. Energies are from meta-GGA SCAN.

abc: 5.1629 5.1629 5.1629
angles: 90.00 90.00 90.00
Last column: nearest neighbours and their distance in Å.
Positions (direct):
Sr (0.0000, 0.0000, 0.5000)  2 N 2.58
Sr (0.0000, 0.5000, 0.0000)  2 N 2.58
Sr (0.5000, 0.0000, 0.0000)  2 N 2.58
N (0.0000, 0.0000, 0.0000)  6 Sr 2.58
F (0.5000, 0.5000, 0.5000)  12 Sr 3.65

Properties
volume = 27.5 Å³/atom
total magnetic moment = 0.887 Bohr magnetons per cell
crystal system = cubic
calculated total energy = -84.37 eV for the cell shown
E_form (uncorrected) = -0.944 eV per atom

Entry 9:
Here is a PBEsol-optimized structure of YAl3F from the Alexandria database. Energies are from meta-GGA SCAN.

abc: 4.4599 4.4599 4.4599
angles: 90.00 90.00 90.00
Last column: nearest neighbours and their distance in Å.
Positions (direct):
Y (0.0000, 0.0000, 0.0000)  12 Al 3.15
Al (0.0000, 0.5000, 0.5000)  2 F 2.23
Al (0.5000, 0.0000, 0.5000)  2 F 2.23
Al (0.5000, 0.5000, 0.0000)  2 F 2.23
F (0.5000, 0.5000, 0.5000)  6 Al 2.23

Properties
volume = 17.7 Å³/atom
total magnetic moment = 0.000 Bohr magnetons per cell
crystal system = cubic
calculated total energy = -57.89 eV for the cell shown
E_form (uncorrected) = -0.649 eV per atom

Entry 10:
Here is a PBEsol-optimized structure of ZrMnSi2 from the Alexandria database. Energies are from meta-GGA SCAN.

abc: 3.8725 3.8725 13.3748
angles: 90.00 90.00 120.00
Last column: nearest neighbours and their distance in Å.
Positions (direct):
Zr (0.0000, 0.0000, 0.0000)  8 Si 2.75-2.85
Zr (0.3333, 0.6667, 0.6667)  8 Si 2.75-2.85
Zr (0.6667, 0.3333, 0.3333)  8 Si 2.75-2.85
Mn (0.0000, 0.0000, 0.5000)  6 Si 2.32
Mn (0.3333, 0.6667, 0.1667)  6 Si 2.32
Mn (0.6667, 0.3333, 0.8333)  6 Si 2.32
Si (0.0000, 0.0000, 0.2133)  3 Mn 2.32, 3 Si 2.56
Si (0.0000, 0.0000, 0.7867)  3 Mn 2.32, 3 Si 2.56
Si (0.3333, 0.6667, 0.4534)  3 Mn 2.32, 3 Si 2.56
Si (0.3333, 0.6667, 0.8799)  3 Mn 2.32, 3 Si 2.56
Si (0.6667, 0.3333, 0.1201)  3 Mn 2.32, 3 Si 2.56
Si (0.6667, 0.3333, 0.5466)  3 Mn 2.32, 3 Si 2.56

Properties
volume = 14.5 Å³/atom
total magnetic moment = 3.764 Bohr magnetons per cell
crystal system = trigonal
calculated total energy = -213.38 eV for the cell shown
E_form (uncorrected) = -0.535 eV per atom